# K3CoRh3Se8

K3CoRh3Se8 after structural relaxation (PBE, Alexandria via LeMat-Bulk).

```
15
Lattice="3.788 2.187 7.381 -3.788 2.187 7.381 0.000 -4.374 7.381" Properties=species:S:1:pos:R:3 pbc="T T T"
K -1.894 -1.093 7.381
K -1.894 1.093 14.761
K 0.000 2.187 7.381
Co 0.000 0.000 11.071
Rh -3.788 0.000 11.071
Rh -1.894 1.093 3.690
Rh 1.894 1.093 3.690
Se 0.000 0.000 4.936
Se -1.838 -1.061 12.284
Se 0.000 -2.123 9.857
Se -1.838 1.061 9.857
Se 1.838 -1.061 12.284
Se 0.000 2.123 12.284
Se 1.838 1.061 9.857
Se 0.000 0.000 17.206
```

Computed properties:
* space group: R-3m (166)
* Fermi-level density of states: 14.7 states/eV/cell
* formation energy (no corrections): -0.6178 eV/atom

=====

# K2TaCoRh

K2TaCoRh after structural relaxation (PBE, Alexandria via LeMat-Bulk).

```
5
Lattice="5.992 0.000 0.000 0.000 5.992 0.000 0.000 0.000 4.509" Properties=species:S:1:pos:R:3 pbc="T T T"
K 0.000 2.996 0.000
K 2.996 0.000 0.000
Ta 0.000 0.000 2.255
Co 2.996 2.996 2.255
Rh 2.996 2.996 0.000
```

Computed properties:
* space group: P4/mmm (123)
* Fermi-level density of states: 7.6 states/eV/cell
* E: -3.643 eV per atom

=====

# KTaCo2Rh

KTaCo2Rh after structural relaxation (PBE, Alexandria via LeMat-Bulk).

```
5
Lattice="4.230 0.000 0.000 0.000 4.230 0.000 0.000 0.000 4.731" Properties=species:S:1:pos:R:3 pbc="T T T"
K 0.000 0.000 0.000
Ta 2.115 2.115 2.366
Co 0.000 2.115 0.000
Co 2.115 0.000 0.000
Rh 0.000 0.000 2.366
```

Computed properties:
* space group: P4/mmm (123)
* Fermi-level density of states: 5.8 states/eV/cell
* E: -4.605 eV per atom

=====

# KCoRu

KCoRu after structural relaxation (PBE, Alexandria via LeMat-Bulk).

```
6
Lattice="6.104 -2.111 0.000 6.104 2.111 0.000 -0.114 0.000 4.940" Properties=species:S:1:pos:R:3 pbc="T T T"
K 0.000 0.000 0.000
K 6.610 0.000 2.464
Co 3.229 0.000 1.144
Co 9.123 0.000 0.058
Ru 3.170 0.000 3.658
Ru 9.785 0.000 2.445
```

Computed properties:
* space group: Cm (8)
* Fermi-level density of states: 6.4 states/eV/cell
* ΔE to the lowest computed polymorph: 0.18 eV/f.u.

=====

# KCoRu

KCoRu after structural relaxation (PBE, Alexandria via LeMat-Bulk).

```
6
Lattice="2.799 0.000 0.000 1.396 4.373 0.000 0.299 1.008 11.682" Properties=species:S:1:pos:R:3 pbc="T T T"
K 0.849 1.094 2.104
K 3.644 4.287 9.577
Co 0.851 1.988 7.305
Co 3.642 3.393 4.376
Ru 2.240 3.887 6.351
Ru 2.252 1.494 5.331
```

Computed properties:
* space group: P-1 (2)
* Fermi-level density of states: 9.4 states/eV/cell
* ΔE to the lowest computed polymorph: 0.24 eV/f.u.

=====

# KCoRu2

KCoRu2 after structural relaxation (PBE, Alexandria via LeMat-Bulk).

```
4
Lattice="0.000 3.179 3.179 3.179 0.000 3.179 3.179 3.179 0.000" Properties=species:S:1:pos:R:3 pbc="T T T"
K 0.000 0.000 0.000
Co 1.589 1.589 1.589
Ru 3.179 3.179 3.179
Ru 4.768 4.768 4.768
```

Computed properties:
* space group: F-43m (216)
* Fermi-level density of states: 3.8 states/eV/cell
* ΔE to the lowest computed polymorph: 2.50 eV/f.u.

=====

# KCoRu

KCoRu after structural relaxation (PBE, Alexandria via LeMat-Bulk).

```
6
Lattice="4.304 0.000 0.000 0.000 4.304 0.000 0.000 0.000 7.926" Properties=species:S:1:pos:R:3 pbc="T T T"
K 1.076 1.076 1.315
K 3.228 3.228 6.611
Co 1.076 3.228 3.963
Co 3.228 1.076 3.963
Ru 1.076 1.076 4.849
Ru 3.228 3.228 3.077
```

Computed properties:
* space group: P4/nmm (129)
* Fermi-level density of states: 8.5 states/eV/cell
* ΔE to the lowest computed polymorph: 0.54 eV/f.u.

=====

# KCoRu2

KCoRu2 after structural relaxation (PBE, Alexandria via LeMat-Bulk).

```
4
Lattice="2.666 0.000 0.000 0.000 2.694 0.000 -0.014 0.000 9.198" Properties=species:S:1:pos:R:3 pbc="T T T"
K 0.000 0.000 0.000
Co -0.007 0.000 4.599
Ru 1.327 1.347 2.875
Ru 1.326 1.347 6.322
```

Computed properties:
* space group: P2/m (10)
* Fermi-level density of states: 5.2 states/eV/cell
* ΔE to the lowest computed polymorph: 0.31 eV/f.u.